(1)
Dy11Cd9Ni4 after structural relaxation. Source: the Alexandria database, functional PBE.

Unit cell a=3.563 b=13.107 c=13.107 alpha=112.74 beta=90.00 gamma=90.00
Positions (direct):
Dy 0.000 0.417 0.083
Cd 0.500 0.500 0.500
Cd 0.500 0.366 0.842
Cd 0.500 0.077 0.218
Dy 0.000 0.583 0.917
Dy 0.000 0.917 0.583
Dy 0.000 0.839 0.161
Dy 0.000 0.689 0.689
Ni 0.500 0.451 0.252
Cd 0.500 0.782 0.923
Ni 0.500 0.748 0.549
Dy 0.000 0.627 0.373
Dy 0.000 0.311 0.311
Dy 0.000 0.000 0.000
Cd 0.500 0.842 0.366
Cd 0.500 0.923 0.782
Dy 0.000 0.161 0.839
Dy 0.000 0.083 0.417
Dy 0.000 0.373 0.627
Cd 0.500 0.158 0.634
Cd 0.500 0.218 0.077
Ni 0.500 0.549 0.748
Ni 0.500 0.252 0.451
Cd 0.500 0.634 0.158

Properties
The calculation puts the formation energy at -389 meV per atom. Its total energy is -3.81 eV/atom. Its space group is Cmmm. For the density of states at the Fermi level, the calculation gives 0.807 states/eV per atom.



(2)
LiBeCd3 after structural relaxation. Source: the Alexandria database, functional PBE.

Unit cell a=4.712 b=4.712 c=4.712 alpha=90.00 beta=90.00 gamma=90.00
Positions (direct):
Be 0.000 0.000 0.000
Cd 0.500 0.000 0.000
Cd 0.000 0.500 0.000
Cd 0.000 0.000 0.500
Li 0.500 0.500 0.500

Properties
The calculation puts the formation energy at 131 meV per atom. Its total energy is -1.55 eV/atom. Its space group is Pm-3m. The energy above the most stable polymorph in this dataset comes out at 0.0 meV per atom. For the density of states at the Fermi level, the calculation gives 0.220 states/eV per atom.



(3)
AcYSc after structural relaxation. Source: the Alexandria database, functional PBE.

Unit cell a=4.050 b=4.050 c=6.770 alpha=107.40 beta=107.40 gamma=90.00
Positions (direct):
Ac 0.007 0.007 0.015
Y 0.315 0.315 0.630
Sc 0.678 0.678 0.356

Properties
The calculation puts the formation energy at 102 meV per atom. Its total energy is -5.53 eV/atom. Its space group is I4mm. The energy above the most stable polymorph in this dataset comes out at 0.0 meV per atom. For the density of states at the Fermi level, the calculation gives 1.559 states/eV per atom.



(4)
NbAlS2Br after structural relaxation. Source: the Alexandria database, functional PBE.

Unit cell a=5.066 b=5.066 c=4.712 alpha=90.00 beta=90.00 gamma=90.00
Last column: magnetic moment on the atom in μB.
Positions (direct):
S 0.000 0.500 0.000  -0.09
Nb 0.500 0.500 0.500  2.54
Br 0.000 0.000 0.000  0.01
Al 0.000 0.000 0.500  0.01
S 0.500 0.000 0.000  -0.09

Properties
Its total energy is -3.47 eV/atom. Its space group is P4/mmm. For the density of states at the Fermi level, the calculation gives 0.739 states/eV per atom.



(5)
SmHo3Pt after structural relaxation. Source: the Alexandria database, functional PBE.

Unit cell a=5.459 b=5.459 c=5.459 alpha=90.00 beta=90.00 gamma=90.00
Positions (direct):
Pt 0.000 0.000 0.000
Ho 0.000 0.000 0.500
Sm 0.500 0.500 0.500
Ho 0.000 0.500 0.000
Ho 0.500 0.000 0.000

Properties
The calculation puts the formation energy at -367 meV per atom. Its total energy is -5.27 eV/atom. Its space group is Pm-3m. The energy above the most stable polymorph in this dataset comes out at 106.6 meV per atom. For the density of states at the Fermi level, the calculation gives 1.503 states/eV per atom.



(6)
LaMoN3 after structural relaxation. Source: the Alexandria database, functional PBE.

Unit cell a=3.529 b=3.529 c=11.705 alpha=81.33 beta=81.33 gamma=90.00
Positions (direct):
La 0.250 0.750 0.500
Mo 0.632 0.132 0.737
Mo 0.868 0.368 0.263
La 0.000 0.000 0.000
N 0.100 0.784 0.801
N 0.216 0.900 0.199
N 0.678 0.678 0.644
N 0.100 0.416 0.801
N 0.584 0.900 0.199
N 0.322 0.322 0.356

Properties
Its total energy is -8.35 eV/atom. Its space group is I-4m2. For the density of states at the Fermi level, the calculation gives 0.391 states/eV per atom.